1.
{
  "formula": "Zr2Sb2As",
  "functional": "PBE",
  "state": "optimized geometry",
  "lattice": [[7.550, 0.000, 0.000], [0.000, 7.550, 0.000], [0.000, 0.000, 4.037]],
  "species": ["Sb", "Zr", "As", "Sb", "As", "Zr", "Sb", "Zr", "Zr", "Sb"],
  "frac_coords": [[0.357, 0.143, 0.500], [0.842, 0.658, 0.000], [0.000, 0.000, 0.000], [0.643, 0.857, 0.500], [0.500, 0.500, 0.000], [0.658, 0.158, 0.000], [0.857, 0.357, 0.500], [0.342, 0.842, 0.000], [0.158, 0.342, 0.000], [0.143, 0.643, 0.500]],
  "m_tot_mub_per_cell": 0.00
}

=====

2.
{
  "formula": "ZnCoW",
  "functional": "PBE",
  "state": "optimized geometry",
  "lattice": [[5.664, -0.099, 0.077], [5.039, 2.545, 0.475], [0.624, -0.250, 2.662]],
  "species": ["W", "Co", "Zn"],
  "frac_coords": [[0.344, 0.344, 0.656], [0.001, 0.001, 0.999], [0.655, 0.655, 0.345]],
  "formation_energy_ev_per_fu": 0.292,
  "m_tot_mub_per_cell": 0.01,
  "polymorph_energy_ev_per_atom": 0.000
}

=====

3.
{
  "formula": "Ba2AgPIr",
  "functional": "PBE",
  "state": "optimized geometry",
  "lattice": [[6.184, 0.000, 0.000], [0.000, 4.455, 0.000], [0.000, 0.000, 6.184]],
  "species": ["Ag", "P", "Ir", "Ba", "Ba"],
  "frac_coords": [[0.000, 0.000, 0.000], [0.000, 0.500, 0.000], [0.500, 0.500, 0.500], [0.000, 0.000, 0.500], [0.500, 0.000, 0.000]],
  "formation_energy_ev_per_fu": 1.790,
  "m_tot_mub_per_cell": 0.99,
  "polymorph_energy_ev_per_atom": 0.781
}

=====

4.
{
  "formula": "Na2YI5",
  "functional": "PBE",
  "state": "optimized geometry",
  "lattice": [[-5.937, -2.626, 6.328], [-4.626, -5.082, -6.451], [8.010, -11.023, 2.940]],
  "species": ["I", "I", "I", "I", "I", "Na", "I", "I", "Na", "I", "I", "I", "I", "Y", "I", "Na", "Y", "Na", "I", "I", "I", "Na", "I", "I", "Na", "Y", "Y", "Na", "Na", "I", "I", "I"],
  "frac_coords": [[0.558, 0.750, 0.978], [0.630, 0.250, 0.684], [0.812, 0.750, 0.201], [0.870, 0.250, 0.184], [0.162, 0.952, 0.083], [0.525, 0.985, 0.176], [0.058, 0.250, 0.522], [0.370, 0.750, 0.316], [0.025, 0.485, 0.324], [0.942, 0.750, 0.478], [0.662, 0.048, 0.417], [0.188, 0.250, 0.799], [0.688, 0.750, 0.701], [0.584, 0.750, 0.491], [0.662, 0.452, 0.417], [0.975, 0.515, 0.676], [0.084, 0.250, 0.009], [0.475, 0.485, 0.824], [0.838, 0.452, 0.917], [0.442, 0.250, 0.022], [0.338, 0.952, 0.583], [0.475, 0.015, 0.824], [0.838, 0.048, 0.917], [0.312, 0.250, 0.299], [0.975, 0.985, 0.676], [0.416, 0.250, 0.509], [0.916, 0.750, 0.991], [0.525, 0.515, 0.176], [0.025, 0.015, 0.324], [0.338, 0.548, 0.583], [0.130, 0.750, 0.816], [0.162, 0.548, 0.083]],
  "m_tot_mub_per_cell": 0.00,
  "polymorph_energy_ev_per_atom": 0.018
}

=====

5.
{
  "formula": "AlCuMoAu2",
  "functional": "PBE",
  "state": "optimized geometry",
  "lattice": [[-0.522, 0.594, 4.664], [-4.335, 0.127, -0.502], [-0.204, -4.691, 0.574]],
  "species": ["Au", "Au", "Cu", "Mo", "Al"],
  "frac_coords": [[0.000, 0.000, 0.500], [0.500, 0.000, 0.000], [0.000, 0.000, 0.000], [0.500, 0.500, 0.500], [0.000, 0.500, 0.000]],
  "formation_energy_ev_per_fu": 4.212,
  "m_tot_mub_per_cell": 3.00
}

=====

6.
{
  "formula": "Sr2AlW",
  "functional": "PBE",
  "state": "optimized geometry",
  "lattice": [[-2.889, 2.955, 3.640], [-4.745, -2.780, 0.298], [5.097, -1.997, 0.598]],
  "species": ["Sr", "W", "Al", "Sr"],
  "frac_coords": [[0.250, 0.750, 0.500], [0.500, 0.500, 0.000], [0.750, 0.250, 0.500], [0.000, 0.000, 0.000]],
  "formation_energy_ev_per_fu": 3.755,
  "m_tot_mub_per_cell": 0.88
}

=====

7.
{
  "formula": "LaInHg2",
  "functional": "PBE",
  "state": "optimized geometry",
  "lattice": [[-1.693, 0.196, 3.425], [-2.016, -3.149, -0.816], [5.370, -4.188, 2.895]],
  "species": ["La", "Hg", "Hg", "In"],
  "frac_coords": [[0.500, 0.500, 0.757], [0.000, 0.000, 0.022], [0.500, 0.500, 0.251], [0.000, 0.000, 0.470]],
  "formation_energy_ev_per_fu": -1.125,
  "m_tot_mub_per_cell": 0.00,
  "polymorph_energy_ev_per_atom": 0.189
}

=====

8.
{
  "formula": "AlCuPb2N",
  "functional": "PBE",
  "state": "optimized geometry",
  "lattice": [[5.420, 0.000, 0.000], [0.000, 3.574, 0.000], [0.000, 0.000, 5.420]],
  "species": ["Pb", "Pb", "Al", "N", "Cu"],
  "frac_coords": [[0.500, 0.000, 0.000], [0.000, 0.000, 0.500], [0.500, 0.500, 0.500], [0.000, 0.000, 0.000], [0.000, 0.500, 0.000]],
  "m_tot_mub_per_cell": 0.00
}

=====

9.
{
  "formula": "RbCd5Pb",
  "functional": "PBE",
  "state": "optimized geometry",
  "lattice": [[6.338, 0.000, 0.000], [0.000, 9.929, 0.000], [0.000, 0.000, 12.509]],
  "species": ["Cd", "Cd", "Cd", "Cd", "Cd", "Cd", "Cd", "Pb", "Pb", "Cd", "Pb", "Cd", "Cd", "Cd", "Cd", "Cd", "Cd", "Cd", "Rb", "Cd", "Cd", "Rb", "Rb", "Rb", "Cd", "Cd", "Cd", "Pb"],
  "frac_coords": [[0.489, 0.075, 0.684], [0.511, 0.925, 0.316], [0.250, 0.087, 0.476], [0.250, 0.587, 0.024], [0.750, 0.322, 0.744], [0.989, 0.425, 0.184], [0.750, 0.072, 0.898], [0.750, 0.130, 0.143], [0.250, 0.870, 0.857], [0.011, 0.575, 0.816], [0.250, 0.370, 0.643], [0.250, 0.678, 0.256], [0.750, 0.822, 0.756], [0.511, 0.425, 0.184], [0.250, 0.428, 0.398], [0.489, 0.575, 0.816], [0.250, 0.928, 0.102], [0.750, 0.572, 0.602], [0.750, 0.258, 0.438], [0.989, 0.925, 0.316], [0.011, 0.075, 0.684], [0.250, 0.742, 0.562], [0.750, 0.758, 0.062], [0.250, 0.242, 0.938], [0.250, 0.178, 0.244], [0.750, 0.913, 0.524], [0.750, 0.413, 0.976], [0.750, 0.630, 0.357]],
  "formation_energy_ev_per_fu": -0.355,
  "m_tot_mub_per_cell": 0.00
}

=====

10.
{
  "formula": "KHPt2W",
  "functional": "PBE",
  "state": "optimized geometry",
  "lattice": [[-3.631, -3.411, 0.632], [1.499, -2.109, -2.772], [2.845, -2.405, 3.368]],
  "species": ["Pt", "W", "H", "Pt", "K"],
  "frac_coords": [[0.500, 0.000, 0.000], [0.000, 0.000, 0.000], [0.000, 0.500, 0.000], [0.000, 0.000, 0.500], [0.500, 0.500, 0.500]],
  "m_tot_mub_per_cell": 0.00
}

=====

11.
{
  "formula": "IrPd",
  "functional": "PBE",
  "state": "optimized geometry",
  "lattice": [[-1.685, 4.522, -4.960], [-1.877, -5.227, -4.129], [-6.444, 0.340, 2.499]],
  "species": ["Pd", "Ir", "Pd", "Ir", "Ir", "Ir", "Pd", "Pd", "Ir", "Pd", "Ir", "Pd"],
  "frac_coords": [[0.750, 0.500, 0.000], [0.000, 0.500, 0.250], [0.500, 0.000, 0.750], [0.750, 0.000, 0.500], [0.250, 0.000, 0.500], [0.500, 0.250, 0.000], [0.250, 0.500, 0.000], [0.500, 0.000, 0.250], [0.500, 0.750, 0.000], [0.000, 0.750, 0.500], [0.000, 0.500, 0.750], [0.000, 0.250, 0.500]],
  "formation_energy_ev_per_fu": 3.027,
  "m_tot_mub_per_cell": 0.00
}

=====

12.
{
  "formula": "Tm4Mg2Tl",
  "functional": "PBE",
  "state": "optimized geometry",
  "lattice": [[-10.142, 1.310, 1.244], [-1.099, -5.546, -3.121], [0.266, -2.877, 5.198]],
  "species": ["Tm", "Tm", "Mg", "Tm", "Tl", "Tm", "Tl", "Tm", "Mg", "Tm", "Mg", "Tm", "Mg", "Tm"],
  "frac_coords": [[0.746, 0.747, 0.007], [0.754, 0.247, 0.007], [0.003, 0.508, 0.259], [0.324, 0.544, 0.491], [0.500, 0.500, 0.000], [0.176, 0.044, 0.491], [0.000, 0.000, 0.000], [0.246, 0.753, 0.993], [0.497, 0.008, 0.259], [0.824, 0.956, 0.509], [0.503, 0.992, 0.741], [0.254, 0.253, 0.993], [0.997, 0.492, 0.741], [0.676, 0.456, 0.509]],
  "formation_energy_ev_per_fu": 0.085,
  "m_tot_mub_per_cell": 0.00,
  "polymorph_energy_ev_per_atom": 0.000
}

=====

Calculated volume, respectively: 230 40 170 1191 98 102 108 105 787 96 331 396 Å³ per cell.
Raw total energy, respectively: -65.80 -21.04 -19.18 -107.95 -21.01 -16.30 -9.39 -21.51 -38.43 -26.44 -66.16 -46.71 eV/cell.